Here is a relaxed Sr2SeBr crystal from the Alexandria database. Energies are from PBE-GGA.

Unit cell a=4.1361 b=4.1361 c=8.7351 alpha=90.00 beta=90.00 gamma=113.57
Atoms (fractional coordinates):
Sr 0.0000 0.0000 0.2284
Sr 0.0000 0.0000 0.7716
Se 0.5000 0.5000 0.0000
Br 0.5000 0.5000 0.5000

Calculated values
**Excess energy over the best structure of this formula in the dataset**: 239.6 meV per atom
**SG**: Cmmm (65)



Here is a relaxed SrSeBr4 crystal from the Alexandria database. Energies are from PBE-GGA.

Unit cell a=6.3311 b=6.3311 c=6.3311 alpha=60.00 beta=60.00 gamma=60.00
Atoms (fractional coordinates):
Sr 0.0000 0.0000 0.0000
Se 0.2500 0.2500 0.2500
Br 0.1255 0.6248 0.6248
Br 0.6248 0.1255 0.6248
Br 0.6248 0.6248 0.1255
Br 0.6248 0.6248 0.6248

Calculated values
**Uncorrected energy**: -2.173 eV per atom
**SG**: F-43m (216)